Entry 1:
# LiSn2IBr4, relaxed, DFT PBE-GGA
# - Formation energy from raw total energies: -0.88 eV/atom
# - Total magnetization: 0.00 μB/atom
# - Total energy: -25.18 eV per formula unit
data_LiSn2IBr4
_cell_length_a 13.511
_cell_length_b 4.139
_cell_length_c 10.354
_cell_angle_alpha 90.00
_cell_angle_beta 118.68
_cell_angle_gamma 90.00
_space_group_name_H-M_alt 'C 1 2/m 1'
_space_group_IT_number 12
loop_
_space_group_symop_operation_xyz
'x,y,z'
'-x,-y,-z'
'-x,y,-z'
'x,-y,z'
'x+1/2,y+1/2,z'
'-x+1/2,-y+1/2,-z'
'-x+1/2,y+1/2,-z'
'x+1/2,-y+1/2,z'
loop_
_atom_site_label
_atom_site_type_symbol
_atom_site_fract_x
_atom_site_fract_y
_atom_site_fract_z
Li1 Li 0.000 0.000 0.000
Sn1 Sn 0.187 0.000 0.755
I1 I 0.000 0.500 0.500
Br1 Br 0.115 0.500 0.936
Br2 Br 0.172 0.000 0.274


Entry 2:
# Sr2AcBeO5, relaxed, DFT PBE-GGA
# - Formation energy from raw total energies: -2.71 eV/atom
# - Total magnetization: 0.12 μB/atom
# - Total energy: -60.38 eV per formula unit
data_Sr2AcBeO5
_cell_length_a 6.731
_cell_length_b 6.731
_cell_length_c 10.968
_cell_angle_alpha 90.00
_cell_angle_beta 90.00
_cell_angle_gamma 90.00
_space_group_name_H-M_alt 'I 4/m c m'
_space_group_IT_number 140
_space_group_name_Hall '-I 4 2c'
loop_
_atom_site_label
_atom_site_type_symbol
_atom_site_fract_x
_atom_site_fract_y
_atom_site_fract_z
Sr1 Sr 0.171 0.329 0.000
Ac1 Ac 0.000 0.000 0.250
Be1 Be 0.000 0.500 0.250
O1 O 0.000 0.000 0.000
O2 O 0.138 0.362 0.343


Entry 3:
# Ca2CdIn4, relaxed, DFT PBE-GGA
# - DFT formation energy: 0.079 eV/atom
# - Total magnetization: 0.00 μB/atom
# - Total energy: -15.32 eV per formula unit
data_Ca2CdIn4
_cell_length_a 5.436
_cell_length_b 5.436
_cell_length_c 16.295
_cell_angle_alpha 90.00
_cell_angle_beta 90.00
_cell_angle_gamma 90.00
_space_group_name_H-M_alt 'I 4/m m m'
_space_group_IT_number 139
_space_group_name_Hall '-I 4 2'
loop_
_atom_site_label
_atom_site_type_symbol
_atom_site_fract_x
_atom_site_fract_y
_atom_site_fract_z
Ca1 Ca 0.000 0.000 0.127
Cd1 Cd 0.000 0.000 0.500
In1 In 0.000 0.000 0.322
In2 In 0.000 0.500 0.000